Material: Tb2U
Method: DFT, PBE
State: optimized geometry

POSCAR file:
```
Tb2U
1.0
-2.918 -7.455 3.342
2.248 -7.554 -3.627
5.458 -5.337 4.122
U Tb
2 4
Cartesian
0.599 -2.543 0.480 U
4.190 -17.802 3.358 U
2.729 -2.668 2.061 Tb
1.124 -3.777 -1.813 Tb
0.000 0.000 0.000 Tb
-1.459 -3.728 1.671 Tb
```

Values from the calculation:
M_tot in μB/atom: 0.27
SG: Fd-3m (227)
E_form in kJ/mol of formula units: 785.3



Material: TbYU
Method: DFT, PBE
State: optimized geometry

POSCAR file:
```
TbYU
1.0
0.000 3.711 3.711
3.711 0.000 3.711
3.711 3.711 0.000
Tb U Y
1 1 1
Cartesian
1.855 1.855 1.855 Tb
0.000 0.000 0.000 U
5.566 5.566 5.566 Y
```

Values from the calculation:
M_tot in μB/atom: 1.44
SG: F-43m (216)
E_form in kJ/mol of formula units: 379.5



Material: TbW
Method: DFT, PBE
State: optimized geometry

POSCAR file:
```
TbW
1.0
-0.758 -0.112 2.917
1.948 -2.006 -1.130
4.034 3.256 1.173
W Tb
1 1
Cartesian
2.054 -0.561 0.512 W
3.170 1.699 2.448 Tb
```

Values from the calculation:
M_tot in μB/atom: 0.00
SG: P-6m2 (187)
E_form in kJ/mol of formula units: 165.8



Material: TbW
Method: DFT, PBE
State: optimized geometry

POSCAR file:
```
TbW
1.0
0.223 -3.970 -1.021
-2.215 -2.777 2.058
-3.192 -1.835 -1.816
Tb W
1 1
Cartesian
0.000 0.000 0.000 Tb
-2.592 -4.291 -0.390 W
```

Values from the calculation:
M_tot in μB/atom: 0.03
SG: Fm-3m (225)
E_form in kJ/mol of formula units: 341.2



Material: TbW
Method: DFT, PBE
State: optimized geometry

POSCAR file:
```
TbW
1.0
0.000 3.259 3.259
3.259 0.000 3.259
3.259 3.259 0.000
Tb W
1 1
Cartesian
0.000 0.000 0.000 Tb
1.629 1.629 1.629 W
```

Values from the calculation:
M_tot in μB/atom: 1.51
SG: F-43m (216)
E_form in kJ/mol of formula units: 559.1



Material: TbYZr
Method: DFT, PBE
State: optimized geometry

POSCAR file:
```
TbYZr
1.0
0.000 3.680 3.680
3.680 0.000 3.680
3.680 3.680 0.000
Y Tb Zr
1 1 1
Cartesian
0.000 0.000 0.000 Y
1.840 1.840 1.840 Tb
5.520 5.520 5.520 Zr
```

Values from the calculation:
M_tot in μB/atom: 0.00
SG: F-43m (216)
E_form in kJ/mol of formula units: 286.2